# 1
Here is a crystal of TlRe2AgO relaxed with PBEsol from Alexandria. Energies are from SCAN.

Cell and atoms, written as POSCAR:
```
TlRe2AgO
1.0
3.966 0.000 0.000
0.000 3.966 0.000
0.000 0.000 5.086
Re Tl O Ag
2 1 1 1
Direct
0.000 0.500 0.000
0.500 0.000 0.000
0.500 0.500 0.500
0.000 0.000 0.000
0.000 0.000 0.500
```

The space group is P4/mmm (123). The energy relative to the elements, uncorrected is 0.83 eV per atom.


# 2
Here is a crystal of Ag3RhO relaxed with PBEsol from Alexandria. Energies are from SCAN.

Cell and atoms, written as POSCAR:
```
Ag3RhO
1.0
-0.045 2.751 -3.244
-4.137 -0.785 -0.608
-0.992 3.148 2.684
Rh O Ag
1 1 3
Direct
0.500 0.500 0.500
0.000 0.000 0.000
0.000 0.500 0.000
0.000 0.000 0.500
0.500 0.000 0.000
```

The space group is Pm-3m (221). The energy relative to the elements, uncorrected is 0.42 eV per atom.


# 3
Here is a crystal of Ag2RhSO relaxed with PBEsol from Alexandria. Energies are from SCAN.

Cell and atoms, written as POSCAR:
```
Ag2RhSO
1.0
-0.986 4.013 0.156
-2.751 -0.509 -4.285
-4.139 -1.125 2.791
S Rh O Ag
1 1 1 2
Direct
0.500 0.000 0.000
0.000 0.000 0.000
0.500 0.500 0.500
0.000 0.000 0.500
0.000 0.500 0.000
```

The space group is P4/mmm (123). The energy relative to the elements, uncorrected is 0.75 eV per atom.